An optimized crystal structure of ReBIN2. Source: Alexandria, functional PBE-GGA.

Cell: 3.850 3.850 5.784 Å, 90.00 90.00 90.00°
Element x y z (fractional)
Re 0.000 0.000 0.000
B 0.500 0.500 0.500
I 0.000 0.000 0.500
N 0.000 0.500 0.000
N 0.500 0.000 0.000

E_form (uncorrected) = 1.291 eV per atom
Energy = -6.174 eV/atom
M_tot = 0.22 μB/f.u.

An optimized crystal structure of BRhIN2. Source: Alexandria, functional PBE-GGA.

Cell: 3.739 3.739 8.405 Å, 90.00 90.00 90.00°
Element x y z (fractional)
B 0.000 0.000 0.000
Rh 0.500 0.500 0.500
I 0.500 0.500 0.000
N 0.000 0.500 0.500
N 0.500 0.000 0.500

E_form (uncorrected) = 1.675 eV per atom
Energy = -4.771 eV/atom
M_tot = 0.43 μB/f.u.